# 1
Entry from Alexandria via LeMat-Bulk: a relaxed LaHBr2 crystal (PBE).

Cell and atoms, written as CIF:
```
data_LaHBr2
_cell_length_a 8.1339
_cell_length_b 8.1339
_cell_length_c 8.1339
_cell_angle_alpha 28.24
_cell_angle_beta 28.24
_cell_angle_gamma 28.24
_space_group_name_H-M_alt 'P 1'
_space_group_IT_number 1
_space_group_name_Hall 'P 1'
loop_
_atom_site_label
_atom_site_type_symbol
_atom_site_fract_x
_atom_site_fract_y
_atom_site_fract_z
La1 La 0.0000 0.0000 0.0000
H1 H 0.5000 0.5000 0.5000
Br1 Br 0.4228 0.4228 0.4228
Br2 Br 0.5772 0.5772 0.5772
```

Summary:
Space-group type: R-3m, No. 166
Raw total energy: -14.69 eV/cell
Density of states at the Fermi level: 0.63 states/eV per cell
Energy relative to the lowest polymorph listed for this composition: 847 meV/atom
Crystal system: trigonal

***

# 2
Entry from Alexandria via LeMat-Bulk: a relaxed La2H2Br crystal (PBE).

Cell and atoms, written as CIF:
```
data_La2H2Br
_cell_length_a 7.7494
_cell_length_b 7.7494
_cell_length_c 7.7494
_cell_angle_alpha 152.39
_cell_angle_beta 152.39
_cell_angle_gamma 39.44
_space_group_name_H-M_alt 'P 1'
_space_group_IT_number 1
_space_group_name_Hall 'P 1'
loop_
_atom_site_label
_atom_site_type_symbol
_atom_site_fract_x
_atom_site_fract_y
_atom_site_fract_z
La1 La 0.1515 0.1515 0.0000
La2 La 0.8485 0.8485 0.0000
H1 H 0.2500 0.7500 0.5000
H2 H 0.7500 0.2500 0.5000
Br1 Br 0.5000 0.5000 0.0000
```

Summary:
Space-group type: I4/mmm, No. 139
Raw total energy: -22.40 eV/cell
Density of states at the Fermi level: 2.57 states/eV per cell
Crystal system: tetragonal

***

# 3
Entry from Alexandria via LeMat-Bulk: a relaxed LaHBr2 crystal (PBE).

Cell and atoms, written as CIF:
```
data_LaHBr2
_cell_length_a 10.2048
_cell_length_b 10.2048
_cell_length_c 10.2048
_cell_angle_alpha 152.84
_cell_angle_beta 152.84
_cell_angle_gamma 38.78
_space_group_name_H-M_alt 'P 1'
_space_group_IT_number 1
_space_group_name_Hall 'P 1'
loop_
_atom_site_label
_atom_site_type_symbol
_atom_site_fract_x
_atom_site_fract_y
_atom_site_fract_z
La1 La 0.0000 0.0000 0.0000
La2 La 0.7500 0.2500 0.5000
H1 H 0.2500 0.7500 0.5000
H2 H 0.5000 0.5000 0.0000
Br1 Br 0.1226 0.6250 0.9976
Br2 Br 0.3750 0.3726 0.4976
Br3 Br 0.6274 0.1250 0.0024
Br4 Br 0.8750 0.8774 0.5024
```

Summary:
Space-group type: I-42d, No. 122
Raw total energy: -29.39 eV/cell
Density of states at the Fermi level: 0.00 states/eV per cell
Energy relative to the lowest polymorph listed for this composition: 848 meV/atom
Crystal system: tetragonal

***

# 4
Entry from Alexandria via LeMat-Bulk: a relaxed LaH2Br3 crystal (PBE).

Cell and atoms, written as CIF:
```
data_LaH2Br3
_cell_length_a 7.9700
_cell_length_b 7.9700
_cell_length_c 7.9679
_cell_angle_alpha 90.00
_cell_angle_beta 90.00
_cell_angle_gamma 120.00
_space_group_name_H-M_alt 'P 1'
_space_group_IT_number 1
_space_group_name_Hall 'P 1'
loop_
_atom_site_label
_atom_site_type_symbol
_atom_site_fract_x
_atom_site_fract_y
_atom_site_fract_z
La1 La 0.0000 0.0000 0.0000
La2 La 0.0000 0.0000 0.5000
H1 H 0.3333 0.6667 0.0563
H2 H 0.3333 0.6667 0.4437
H3 H 0.6667 0.3333 0.5563
H4 H 0.6667 0.3333 0.9437
Br1 Br 0.1598 0.3197 0.7500
Br2 Br 0.1598 0.8402 0.7500
Br3 Br 0.3197 0.1598 0.2500
Br4 Br 0.6803 0.8402 0.7500
Br5 Br 0.8402 0.1598 0.2500
Br6 Br 0.8402 0.6803 0.2500
```

Summary:
Space-group type: P6_3/mmc, No. 194
Raw total energy: -39.73 eV/cell
Density of states at the Fermi level: 0.00 states/eV per cell
Crystal system: hexagonal

***

# 5
Entry from Alexandria via LeMat-Bulk: a relaxed La6HBr3N2 crystal (PBE).

Cell and atoms, written as CIF:
```
data_La6HBr3N2
_cell_length_a 6.6136
_cell_length_b 6.6136
_cell_length_c 7.8270
_cell_angle_alpha 98.20
_cell_angle_beta 98.20
_cell_angle_gamma 119.60
_space_group_name_H-M_alt 'P 1'
_space_group_IT_number 1
_space_group_name_Hall 'P 1'
loop_
_atom_site_label
_atom_site_type_symbol
_atom_site_fract_x
_atom_site_fract_y
_atom_site_fract_z
La1 La 0.0866 0.4384 0.8130
La2 La 0.2067 0.2067 0.1862
La3 La 0.4384 0.0866 0.8130
La4 La 0.5616 0.9134 0.1870
La5 La 0.7933 0.7933 0.8138
La6 La 0.9134 0.5616 0.1870
H1 H 0.5000 0.5000 0.0000
Br1 Br 0.0000 0.0000 0.5000
Br2 Br 0.3358 0.6642 0.5000
Br3 Br 0.6642 0.3358 0.5000
N1 N 0.1669 0.8331 0.0000
N2 N 0.8331 0.1669 0.0000
```

Summary:
Space-group type: C2/m, No. 12
Raw total energy: -69.37 eV/cell
Density of states at the Fermi level: 8.63 states/eV per cell
Crystal system: monoclinic

***

# 6
Entry from Alexandria via LeMat-Bulk: a relaxed La6Ni2HBr3 crystal (PBE).

Cell and atoms, written as CIF:
```
data_La6Ni2HBr3
_cell_length_a 7.0487
_cell_length_b 7.0487
_cell_length_c 8.0616
_cell_angle_alpha 98.76
_cell_angle_beta 98.76
_cell_angle_gamma 118.97
_space_group_name_H-M_alt 'P 1'
_space_group_IT_number 1
_space_group_name_Hall 'P 1'
loop_
_atom_site_label
_atom_site_type_symbol
_atom_site_fract_x
_atom_site_fract_y
_atom_site_fract_z
La1 La 0.1023 0.4391 0.8016
La2 La 0.2289 0.2289 0.2050
La3 La 0.4391 0.1023 0.8016
La4 La 0.5609 0.8977 0.1984
La5 La 0.7711 0.7711 0.7950
La6 La 0.8977 0.5609 0.1984
Ni1 Ni 0.1636 0.8364 0.0000
Ni2 Ni 0.8364 0.1636 0.0000
H1 H 0.5000 0.5000 0.0000
Br1 Br 0.0000 0.0000 0.5000
Br2 Br 0.3301 0.6699 0.5000
Br3 Br 0.6699 0.3301 0.5000
```

Summary:
Space-group type: C2/m, No. 12
Raw total energy: -59.47 eV/cell
Density of states at the Fermi level: 13.51 states/eV per cell
Crystal system: monoclinic

***

# 7
Entry from Alexandria via LeMat-Bulk: a relaxed La8HOs3Br3 crystal (PBE).

Cell and atoms, written as CIF:
```
data_La8HOs3Br3
_cell_length_a 8.3186
_cell_length_b 8.3186
_cell_length_c 9.1526
_cell_angle_alpha 117.08
_cell_angle_beta 117.08
_cell_angle_gamma 59.93
_space_group_name_H-M_alt 'P 1'
_space_group_IT_number 1
_space_group_name_Hall 'P 1'
loop_
_atom_site_label
_atom_site_type_symbol
_atom_site_fract_x
_atom_site_fract_y
_atom_site_fract_z
La1 La 0.2250 0.7353 0.6953
La2 La 0.2344 0.2344 0.7030
La3 La 0.2644 0.2644 0.3045
La4 La 0.2647 0.7750 0.3047
La5 La 0.7353 0.2250 0.6953
La6 La 0.7356 0.7356 0.6955
La7 La 0.7656 0.7656 0.2970
La8 La 0.7750 0.2647 0.3047
H1 H 0.5000 0.5000 0.5000
Os1 Os 0.0000 0.0000 0.5000
Os2 Os 0.0000 0.5000 0.5000
Os3 Os 0.5000 0.0000 0.5000
Br1 Br 0.0000 0.5000 0.0000
Br2 Br 0.5000 0.0000 0.0000
Br3 Br 0.5000 0.5000 0.0000
```

Summary:
Space-group type: C2/m, No. 12
Raw total energy: -91.75 eV/cell
Density of states at the Fermi level: 8.42 states/eV per cell
Crystal system: monoclinic

***

# 8
Entry from Alexandria via LeMat-Bulk: a relaxed La8HOs3Br4 crystal (PBE).

Cell and atoms, written as CIF:
```
data_La8HOs3Br4
_cell_length_a 8.2561
_cell_length_b 8.2561
_cell_length_c 9.2514
_cell_angle_alpha 116.45
_cell_angle_beta 116.45
_cell_angle_gamma 60.03
_space_group_name_H-M_alt 'P 1'
_space_group_IT_number 1
_space_group_name_Hall 'P 1'
loop_
_atom_site_label
_atom_site_type_symbol
_atom_site_fract_x
_atom_site_fract_y
_atom_site_fract_z
La1 La 0.2252 0.7344 0.6942
La2 La 0.2341 0.2341 0.7023
La3 La 0.2657 0.2657 0.3059
La4 La 0.2656 0.7748 0.3058
La5 La 0.7344 0.2252 0.6942
La6 La 0.7343 0.7343 0.6941
La7 La 0.7659 0.7659 0.2977
La8 La 0.7748 0.2656 0.3058
H1 H 0.5000 0.5000 0.5000
Os1 Os 0.0000 0.0000 0.5000
Os2 Os 0.0000 0.5000 0.5000
Os3 Os 0.5000 0.0000 0.5000
Br1 Br 0.0000 0.0000 0.0000
Br2 Br 0.0000 0.5000 0.0000
Br3 Br 0.5000 0.0000 0.0000
Br4 Br 0.5000 0.5000 0.0000
```

Summary:
Space-group type: C2/m, No. 12
Raw total energy: -97.03 eV/cell
Density of states at the Fermi level: 5.03 states/eV per cell
Crystal system: monoclinic

***

Question: density of states at the Fermi level of number 5 (La6HBr3N2)?
Answer: 8.63 states/eV per cell

***

Question: Which value of density of states at the Fermi level does entry 4 give?
Answer: 0.00 states/eV per cell

***

Question: Among the records above, which one has the highest density of states at the Fermi level?
Answer: La6Ni2HBr3